[1]
Material: MnSiSnIrS
Method: DFT, PBE-GGA
State: relaxed

Structure (POSCAR):
```
MnSiSnIrS
1.0
11.010 0.000 0.021
0.000 3.023 0.000
-0.861 0.000 5.180
S Ir Si Mn Sn
2 2 2 2 2
Direct
0.432 0.000 0.818 S
0.432 0.500 0.318 S
0.879 0.500 0.135 Ir
0.879 0.000 0.635 Ir
0.724 0.000 0.250 Si
0.724 0.500 0.750 Si
0.557 0.500 0.027 Mn
0.557 0.000 0.527 Mn
0.102 0.000 0.047 Sn
0.102 0.500 0.547 Sn
```

## Properties
Excess energy over the best structure of this formula in the dataset = 133 meV per atom
Space group = No. 8

***

[2]
Material: Ac4CoRu
Method: DFT, PBE-GGA
State: relaxed

Structure (POSCAR):
```
Ac4CoRu
1.0
4.303 0.000 0.000
0.000 7.165 -1.974
0.000 -0.642 6.983
Ac Co Ru
4 1 1
Direct
0.500 0.258 0.267 Ac
0.000 0.752 0.263 Ac
0.000 0.248 0.737 Ac
0.500 0.742 0.733 Ac
0.000 0.500 0.500 Co
0.500 0.000 0.500 Ru
```

## Properties
Formation energy = -114 meV/atom
Space group = No. 10

***

[3]
Material: Ce2AlGe3Au4
Method: DFT, PBE-GGA
State: relaxed

Structure (POSCAR):
```
Ce2AlGe3Au4
1.0
4.390 0.000 0.000
0.000 4.390 0.000
0.000 0.000 10.793
Ce Al Ge Au
2 1 3 4
Direct
0.500 0.000 0.241 Ce
0.000 0.500 0.759 Ce
0.500 0.500 0.500 Al
0.000 0.000 0.500 Ge
0.000 0.500 0.137 Ge
0.500 0.000 0.863 Ge
0.500 0.000 0.630 Au
0.500 0.500 0.000 Au
0.000 0.000 0.000 Au
0.000 0.500 0.370 Au
```

## Properties
Formation energy = -556 meV/atom
Space group = No. 115

***

[4]
Material: PmPaCo2
Method: DFT, PBE-GGA
State: relaxed

Structure (POSCAR):
```
PmPaCo2
1.0
-3.064 -2.662 1.133
3.268 -2.159 3.769
-3.636 5.454 2.979
Co Pa Pm
4 2 2
Direct
0.750 0.172 0.732 Co
0.750 0.191 0.352 Co
0.250 0.828 0.268 Co
0.250 0.809 0.648 Co
0.250 0.281 0.570 Pa
0.750 0.719 0.430 Pa
0.250 0.262 0.065 Pm
0.750 0.738 0.935 Pm
```

## Properties
Excess energy over the best structure of this formula in the dataset = 0 meV per atom
Formation energy = -331 meV/atom
Space group = No. 11

***

[5]
Material: Pm3GaAg3
Method: DFT, PBE-GGA
State: relaxed

Structure (POSCAR):
```
Pm3GaAg3
1.0
4.171 0.000 0.628
2.048 5.435 0.564
-0.206 0.129 15.526
Ga Ag Pm
2 6 6
Direct
0.233 0.912 0.621 Ga
0.767 0.088 0.379 Ga
0.975 0.819 0.231 Ag
0.112 0.852 0.924 Ag
0.888 0.148 0.076 Ag
0.025 0.181 0.769 Ag
0.150 0.232 0.468 Ag
0.850 0.768 0.532 Ag
0.479 0.656 0.386 Pm
0.257 0.252 0.235 Pm
0.604 0.713 0.079 Pm
0.521 0.344 0.614 Pm
0.396 0.287 0.921 Pm
0.743 0.748 0.765 Pm
```

## Properties
Formation energy = -316 meV/atom
Space group = No. 12

***

[6]
Material: La2Ho3Mg2
Method: DFT, PBE-GGA
State: relaxed

Structure (POSCAR):
```
La2Ho3Mg2
1.0
-1.134 3.363 0.061
-2.949 -1.024 1.637
8.254 0.634 15.263
Ho Mg La
3 2 2
Direct
0.429 0.500 0.858 Ho
0.571 0.500 0.142 Ho
0.000 0.000 0.000 Ho
0.865 0.000 0.730 Mg
0.135 0.000 0.270 Mg
0.705 0.500 0.410 La
0.295 0.500 0.590 La
```

## Properties
Formation energy = 13 meV/atom
Space group = No. 65

***

[7]
Material: BaFeRu
Method: DFT, PBE-GGA
State: relaxed

Structure (POSCAR):
```
BaFeRu
1.0
-0.182 2.202 3.290
-2.699 -2.829 -0.642
3.068 -3.497 2.511
Fe Ba Ru
1 1 1
Direct
0.667 0.333 0.500 Fe
0.000 0.000 0.000 Ba
0.333 0.667 0.500 Ru
```

## Properties
Excess energy over the best structure of this formula in the dataset = 169 meV per atom
Formation energy = 500 meV/atom
Space group = No. 187

***

[8]
Material: NbPPtS2
Method: DFT, PBE-GGA
State: relaxed

Structure (POSCAR):
```
NbPPtS2
1.0
4.679 0.000 0.000
0.000 4.679 0.000
0.000 0.000 4.910
Pt S P Nb
1 2 1 1
Direct
0.500 0.500 0.500 Pt
0.500 0.000 0.000 S
0.000 0.500 0.000 S
0.000 0.000 0.500 P
0.000 0.000 0.000 Nb
```

## Properties
Excess energy over the best structure of this formula in the dataset = 0 meV per atom
Space group = No. 123

***

[9]
Material: CeLu2Al
Method: DFT, PBE-GGA
State: relaxed

Structure (POSCAR):
```
CeLu2Al
1.0
4.595 0.000 0.000
0.000 4.722 0.000
0.000 0.000 4.722
Lu Al Ce
2 1 1
Direct
0.000 0.000 0.500 Lu
0.000 0.500 0.000 Lu
0.500 0.000 0.000 Al
0.500 0.500 0.500 Ce
```

## Properties
Excess energy over the best structure of this formula in the dataset = 24 meV per atom
Formation energy = -140 meV/atom
Space group = No. 123

***

[10]
Material: ZnSiMo
Method: DFT, PBE-GGA
State: relaxed

Structure (POSCAR):
```
ZnSiMo
1.0
3.582 0.000 0.000
0.000 3.582 0.000
0.000 0.000 6.751
Zn Mo Si
2 2 2
Direct
0.500 0.500 0.000 Zn
0.000 0.000 0.000 Zn
0.000 0.500 0.661 Mo
0.500 0.000 0.339 Mo
0.500 0.000 0.709 Si
0.000 0.500 0.291 Si
```

## Properties
Excess energy over the best structure of this formula in the dataset = 0 meV per atom
Space group = No. 129

***

[11]
Material: NpGePb
Method: DFT, PBE-GGA
State: relaxed

Structure (POSCAR):
```
NpGePb
1.0
-0.524 -2.685 2.535
2.940 -3.141 -2.719
7.221 0.701 2.236
Pb Np Ge
2 2 2
Direct
0.250 0.254 0.492 Pb
0.750 0.746 0.508 Pb
0.250 0.947 0.107 Np
0.750 0.053 0.893 Np
0.250 0.566 0.868 Ge
0.750 0.434 0.132 Ge
```

## Properties
Formation energy = 45 meV/atom
Space group = No. 63

***

[12]
Material: K2LiSe
Method: DFT, PBE-GGA
State: relaxed

Structure (POSCAR):
```
K2LiSe
1.0
-2.137 -1.915 -4.174
4.345 0.648 -2.521
4.406 -10.943 -0.309
K Li Se
4 2 2
Direct
0.087 0.625 0.250 K
0.375 0.337 0.750 K
0.875 0.913 0.750 K
0.663 0.125 0.250 K
0.250 0.750 0.500 Li
0.500 0.500 0.000 Li
0.750 0.250 0.500 Se
0.000 0.000 0.000 Se
```

## Properties
Total DFT energy (no corrections) = -17.44 eV per cell
Space group = No. 122

***

[13]
Material: Mn2TePt
Method: DFT, PBE-GGA
State: relaxed

Structure (POSCAR):
```
Mn2TePt
1.0
4.484 0.000 0.000
2.242 3.883 0.000
2.242 1.294 3.661
Pt Mn Te
1 2 1
Direct
0.500 0.500 0.500 Pt
0.250 0.250 0.250 Mn
0.000 0.000 0.000 Mn
0.750 0.750 0.750 Te
```

## Properties
Total DFT energy (no corrections) = -26.57 eV per cell
Space group = No. 216

***

[14]
Material: HgHF
Method: DFT, PBE-GGA
State: relaxed

Structure (POSCAR):
```
HgHF
1.0
4.038 0.000 0.057
0.000 8.256 0.000
-0.095 0.000 6.201
H Hg F
4 4 4
Direct
0.000 0.577 0.000 H
0.000 0.077 0.500 H
0.500 0.824 0.500 H
0.500 0.324 0.000 H
0.000 0.545 0.287 Hg
0.000 0.045 0.213 Hg
0.000 0.045 0.787 Hg
0.000 0.545 0.713 Hg
0.500 0.824 0.314 F
0.500 0.324 0.814 F
0.500 0.824 0.686 F
0.500 0.324 0.186 F
```

## Properties
Excess energy over the best structure of this formula in the dataset = 59 meV per atom
Space group = No. 38

***

[15]
Material: TcNi2Au
Method: DFT, PBE-GGA
State: relaxed

Structure (POSCAR):
```
TcNi2Au
1.0
-2.464 -1.956 2.625
1.592 -2.118 -0.084
3.423 0.759 3.778
Ni Au Tc
2 1 1
Direct
0.500 0.058 0.266 Ni
0.000 0.185 0.001 Ni
0.500 0.796 0.779 Au
0.000 0.460 0.455 Tc
```

## Properties
Excess energy over the best structure of this formula in the dataset = 135 meV per atom
Formation energy = 178 meV/atom
Space group = No. 6

***

[16]
Material: Nd4S3Cl
Method: DFT, PBE-GGA
State: relaxed

Structure (POSCAR):
```
Nd4S3Cl
1.0
4.044 0.000 0.000
-2.022 3.502 0.000
0.000 0.000 27.503
S Nd Cl
6 8 2
Direct
0.333 0.667 0.879 S
0.667 0.333 0.379 S
0.333 0.667 0.621 S
0.667 0.333 0.121 S
0.000 0.000 0.000 S
0.000 0.000 0.500 S
0.000 0.000 0.324 Nd
0.333 0.667 0.064 Nd
0.000 0.000 0.676 Nd
0.667 0.333 0.564 Nd
0.667 0.333 0.936 Nd
0.333 0.667 0.436 Nd
0.000 0.000 0.824 Nd
0.000 0.000 0.176 Nd
0.667 0.333 0.750 Cl
0.333 0.667 0.250 Cl
```

## Properties
Total DFT energy (no corrections) = -96.35 eV per cell
Space group = No. 194

***

[17]
Material: MgAgRh
Method: DFT, PBE-GGA
State: relaxed

Structure (POSCAR):
```
MgAgRh
1.0
4.380 0.000 0.000
2.190 3.793 0.000
2.190 1.264 3.576
Mg Ag Rh
1 1 1
Direct
0.500 0.500 0.500 Mg
0.000 0.000 0.000 Ag
0.250 0.250 0.250 Rh
```

## Properties
Excess energy over the best structure of this formula in the dataset = 381 meV per atom
Formation energy = 167 meV/atom
Space group = No. 216

***

[18]
Material: Zn3SnC
Method: DFT, PBE-GGA
State: relaxed

Structure (POSCAR):
```
Zn3SnC
1.0
5.255 0.000 0.000
0.000 5.255 0.000
0.000 0.000 5.255
Zn Sn C
3 1 1
Direct
0.000 0.000 0.500 Zn
0.500 0.000 0.000 Zn
0.000 0.500 0.000 Zn
0.000 0.000 0.000 Sn
0.500 0.500 0.500 C
```

## Properties
Excess energy over the best structure of this formula in the dataset = 1058 meV per atom
Formation energy = 1707 meV/atom
Space group = No. 221

***

[19]
Material: KSi2P
Method: DFT, PBE-GGA
State: relaxed

Structure (POSCAR):
```
KSi2P
1.0
-0.189 -0.375 4.461
-2.701 -0.681 -0.172
1.635 -6.376 -0.466
P Si K
1 2 1
Direct
0.500 0.750 0.750 P
0.000 0.749 0.927 Si
0.000 0.751 0.573 Si
0.500 0.250 0.250 K
```

## Properties
Excess energy over the best structure of this formula in the dataset = 157 meV per atom
Space group = No. 47

***

[20]
Material: Th2WSe2Br4
Method: DFT, PBE-GGA
State: relaxed

Structure (POSCAR):
```
Th2WSe2Br4
1.0
3.594 0.000 0.000
-1.797 3.113 0.000
0.000 0.000 24.207
Th Br Se W
2 4 2 1
Direct
0.667 0.333 0.644 Th
0.000 0.000 0.988 Th
0.667 0.333 0.897 Br
0.000 0.000 0.553 Br
0.667 0.333 0.080 Br
0.000 0.000 0.736 Br
0.667 0.333 0.392 Se
0.667 0.333 0.261 Se
0.000 0.000 0.326 W
```

## Properties
Total DFT energy (no corrections) = -50.83 eV per cell
Space group = No. 156

***

[21]
Material: B5H
Method: DFT, PBE-GGA
State: relaxed

Structure (POSCAR):
```
B5H
1.0
3.194 0.000 0.000
0.000 2.852 0.000
0.000 -1.426 4.653
B H
5 1
Direct
0.000 0.819 0.638 B
0.500 0.901 0.802 B
0.000 0.181 0.362 B
0.500 0.500 0.000 B
0.500 0.099 0.198 B
0.000 0.000 0.000 H
```

## Properties
Total DFT energy (no corrections) = -32.13 eV per cell
Space group = No. 65

***

[22]
Material: Cs3Y2NpSe6
Method: DFT, PBE-GGA
State: relaxed

Structure (POSCAR):
```
Cs3Y2NpSe6
1.0
7.424 -0.002 -0.001
-3.712 6.430 -0.001
-1.238 -2.143 8.371
Se Cs Y Np
6 3 2 1
Direct
0.728 0.728 0.186 Se
0.062 0.395 0.186 Se
0.272 0.272 0.814 Se
0.938 0.605 0.814 Se
0.605 0.938 0.814 Se
0.395 0.062 0.186 Se
0.500 0.500 0.500 Cs
0.832 0.168 0.500 Cs
0.168 0.832 0.500 Cs
0.333 0.667 0.000 Y
0.667 0.333 0.000 Y
0.000 0.000 0.000 Np
```

## Properties
Total DFT energy (no corrections) = -66.75 eV per cell
Space group = No. 12

***

[23]
Material: As2Pb4Se
Method: DFT, PBE-GGA
State: relaxed

Structure (POSCAR):
```
As2Pb4Se
1.0
0.221 7.419 4.425
-2.927 0.329 8.032
5.607 1.064 6.374
Pb Se As
8 2 4
Direct
0.252 0.239 0.257 Pb
0.748 0.243 0.261 Pb
0.252 0.757 0.739 Pb
0.764 0.754 0.254 Pb
0.748 0.761 0.743 Pb
0.229 0.754 0.254 Pb
0.236 0.246 0.746 Pb
0.771 0.246 0.746 Pb
0.500 0.500 0.000 Se
0.000 0.500 0.000 Se
0.000 0.500 0.500 As
0.500 0.000 0.500 As
0.000 0.000 0.500 As
0.000 0.000 0.000 As
```

## Properties
Total DFT energy (no corrections) = -56.77 eV per cell
Space group = No. 74

***

[24]
Material: Sc2TcRuSe
Method: DFT, PBE-GGA
State: relaxed

Structure (POSCAR):
```
Sc2TcRuSe
1.0
5.040 0.000 0.000
0.000 4.539 0.000
0.000 0.000 5.040
Ru Sc Se Tc
1 2 1 1
Direct
0.000 0.500 0.000 Ru
0.000 0.000 0.500 Sc
0.500 0.000 0.000 Sc
0.500 0.500 0.500 Se
0.000 0.000 0.000 Tc
```

## Properties
Total DFT energy (no corrections) = -34.13 eV per cell
Space group = No. 123

***

[25]
Material: Hg3OsCl
Method: DFT, PBE-GGA
State: relaxed

Structure (POSCAR):
```
Hg3OsCl
1.0
-0.329 5.261 0.527
-0.769 -0.570 5.211
5.232 0.247 0.799
Hg Os Cl
3 1 1
Direct
0.500 0.000 0.000 Hg
0.000 0.000 0.500 Hg
0.000 0.500 0.000 Hg
0.000 0.000 0.000 Os
0.500 0.500 0.500 Cl
```

## Properties
Excess energy over the best structure of this formula in the dataset = 0 meV per atom
Space group = No. 221

***

| no. | magnetic moment (μB per formula unit) | density (Mg/m³) |
| --- | --- | --- |
| 1 | 0.835 | 8.2 |
| 2 | 0.000 | 8.5 |
| 3 | 1.577 | 10.5 |
| 4 | 0.000 | 10.5 |
| 5 | 0.000 | 7.8 |
| 6 | 0.000 | 6.3 |
| 7 | 0.000 | 6.8 |
| 8 | 0.000 | 5.9 |
| 9 | 0.536 | 8.4 |
| 10 | 0.000 | 7.3 |
| 11 | 0.002 | 12.6 |
| 12 | 0.651 | 1.9 |
| 13 | 5.720 | 11.3 |
| 14 | 0.000 | 7.1 |
| 15 | 0.000 | 12.7 |
| 16 | 0.000 | 6.0 |
| 17 | 0.000 | 6.6 |
| 18 | 2.749 | 3.7 |
| 19 | 0.000 | 2.5 |
| 20 | 0.000 | 6.9 |
| 21 | 0.000 | 2.2 |
| 22 | 0.077 | 5.4 |
| 23 | 0.000 | 7.8 |
| 24 | 0.369 | 5.3 |
| 25 | 1.821 | 9.2 |